Entry 1:
Below is an optimized crystal structure of DyHo3Th2Sb6, with properties calculated at the PBE level.

Cell and atoms, written as POSCAR:
```
DyHo3Th2Sb6
1.0
4.430 0.000 0.000
0.000 8.815 0.325
-2.215 -2.528 9.284
Ho Th Sb Dy
3 2 6 1
Direct
0.500 0.500 0.000
0.167 0.834 0.334
0.833 0.166 0.666
0.165 0.331 0.330
0.835 0.669 0.670
0.335 0.411 0.670
0.665 0.589 0.330
0.997 0.249 0.994
0.003 0.751 0.006
0.666 0.076 0.333
0.334 0.924 0.667
0.500 0.000 0.000
```

Its space-group type is C2/m. The energy relative to the elements, uncorrected is -1.053 eV per atom. The total energy is -70.5 eV per cell.

Entry 2:
Below is an optimized crystal structure of DyHoTh2Sb4, with properties calculated at the PBE level.

Cell and atoms, written as POSCAR:
```
DyHoTh2Sb4
1.0
4.456 0.000 0.000
0.000 7.654 -0.125
0.000 2.719 7.221
Sb Dy Ho Th
4 1 1 2
Direct
0.500 0.260 0.747
0.500 0.740 0.253
0.000 0.740 0.754
0.000 0.260 0.246
0.000 0.500 0.500
0.500 0.500 0.000
0.500 0.000 0.500
0.000 0.000 0.000
```

Its space-group type is P2/m. The energy relative to the elements, uncorrected is -1.017 eV per atom. The total energy is -48.6 eV per cell.